1.
Compound: Nd2CdSn3
Source: Alexandria
Functional: PBE
Structure: optimized geometry Values from VASP.

SG   Cmcm (63)
D(E_F)   4.156 states/eV/f.u.
ΔH_f (0 K)   -0.311 eV/atom

The structure in Quantum ESPRESSO input format:
```
&SYSTEM
  ibrav = 0, nat = 12, ntyp = 3
/
ATOMIC_SPECIES
Nd 144.24 Nd.upf
Cd 112.41 Cd.upf
Sn 118.71 Sn.upf
ATOMIC_POSITIONS angstrom
Nd 2.479 -3.993 -2.947
Nd 6.282 -2.184 1.328
Nd 6.118 -1.394 -2.575
Nd 2.643 -4.783 0.956
Cd 7.948 -4.717 -1.289
Cd 0.813 -1.460 -0.330
Sn 3.663 -1.634 -0.485
Sn 5.098 -4.543 -1.134
Sn 4.562 -3.960 3.496
Sn 4.764 -1.151 4.055
Sn 4.199 -2.218 -5.115
Sn 4.401 0.591 -4.555
CELL_PARAMETERS angstrom
-0.404 -5.618 -1.119
4.294 1.102 -7.081
4.870 -1.662 6.581
```

2.
Compound: Nd2Cd16Sn
Source: Alexandria
Functional: PBE
Structure: optimized geometry Values from VASP.

SG   R3m (160)
D(E_F)   7.601 states/eV/f.u.
ΔH_f (0 K)   -0.150 eV/atom

The structure in Quantum ESPRESSO input format:
```
&SYSTEM
  ibrav = 0, nat = 19, ntyp = 3
/
ATOMIC_SPECIES
Nd 144.24 Nd.upf
Cd 112.41 Cd.upf
Sn 118.71 Sn.upf
ATOMIC_POSITIONS angstrom
Nd 5.650 5.107 6.323
Nd 2.802 2.533 3.136
Cd 6.037 7.591 3.854
Cd 7.870 2.373 6.431
Cd 2.916 5.242 8.541
Cd 8.161 5.242 3.854
Cd 5.509 2.373 8.541
Cd 3.154 7.591 6.431
Cd 3.389 6.151 3.793
Cd 6.461 2.752 3.793
Cd 3.045 2.752 6.845
Cd 5.107 1.132 5.715
Cd 1.641 4.967 5.715
Cd 5.495 4.967 2.271
Cd 0.499 3.628 0.558
Cd 3.660 0.130 0.558
Cd 0.144 0.130 3.699
Cd 0.805 0.728 0.901
Sn 7.537 6.812 8.434
CELL_PARAMETERS angstrom
7.647 -0.004 0.857
0.766 7.609 0.857
-0.005 -0.004 7.695
```

3.
Compound: Nd6Cd5Sn
Source: Alexandria
Functional: PBE
Structure: optimized geometry Values from VASP.

SG   Cmmm (65)
D(E_F)   16.154 states/eV/f.u.
ΔH_f (0 K)   -0.392 eV/atom

The structure in Quantum ESPRESSO input format:
```
&SYSTEM
  ibrav = 0, nat = 12, ntyp = 3
/
ATOMIC_SPECIES
Nd 144.24 Nd.upf
Sn 118.71 Sn.upf
Cd 112.41 Cd.upf
ATOMIC_POSITIONS angstrom
Nd -5.408 -2.991 5.684
Nd -3.007 0.026 5.621
Nd -2.782 -0.182 1.800
Nd -5.233 -3.262 1.865
Nd -2.367 -5.404 6.036
Nd 0.034 -2.386 5.973
Sn 0.000 0.000 0.000
Cd -2.786 -2.570 7.741
Cd -0.118 0.177 3.940
Cd -2.411 -3.030 0.064
Cd -0.435 0.505 7.590
Cd -2.589 -2.807 3.916
CELL_PARAMETERS angstrom
-3.194 2.616 3.538
-4.822 -6.060 0.127
2.641 -1.934 7.992
```

4.
Compound: Nd3Cd2Sn4
Source: Alexandria
Functional: PBE
Structure: optimized geometry Values from VASP.

SG   P-1 (2)
D(E_F)   2.891 states/eV/f.u.
ΔH_f (0 K)   -0.553 eV/atom

The structure in Quantum ESPRESSO input format:
```
&SYSTEM
  ibrav = 0, nat = 9, ntyp = 3
/
ATOMIC_SPECIES
Nd 144.24 Nd.upf
Cd 112.41 Cd.upf
Sn 118.71 Sn.upf
ATOMIC_POSITIONS angstrom
Nd -3.588 -2.026 -0.222
Nd -2.158 -3.079 4.852
Nd 0.000 0.000 0.000
Cd -6.797 -1.305 0.748
Cd 1.051 -3.801 3.883
Sn -2.878 -6.104 3.717
Sn -0.965 -2.657 1.781
Sn -2.868 0.999 0.913
Sn -4.781 -2.449 2.849
CELL_PARAMETERS angstrom
-1.802 2.840 3.268
-6.469 -0.855 -2.831
2.525 -7.091 4.193
```

Repeat the second record exactly.
Compound: Nd2Cd16Sn
Source: Alexandria
Functional: PBE
Structure: optimized geometry Values from VASP.

SG   R3m (160)
D(E_F)   7.601 states/eV/f.u.
ΔH_f (0 K)   -0.150 eV/atom

The structure in Quantum ESPRESSO input format:
```
&SYSTEM
  ibrav = 0, nat = 19, ntyp = 3
/
ATOMIC_SPECIES
Nd 144.24 Nd.upf
Cd 112.41 Cd.upf
Sn 118.71 Sn.upf
ATOMIC_POSITIONS angstrom
Nd 5.650 5.107 6.323
Nd 2.802 2.533 3.136
Cd 6.037 7.591 3.854
Cd 7.870 2.373 6.431
Cd 2.916 5.242 8.541
Cd 8.161 5.242 3.854
Cd 5.509 2.373 8.541
Cd 3.154 7.591 6.431
Cd 3.389 6.151 3.793
Cd 6.461 2.752 3.793
Cd 3.045 2.752 6.845
Cd 5.107 1.132 5.715
Cd 1.641 4.967 5.715
Cd 5.495 4.967 2.271
Cd 0.499 3.628 0.558
Cd 3.660 0.130 0.558
Cd 0.144 0.130 3.699
Cd 0.805 0.728 0.901
Sn 7.537 6.812 8.434
CELL_PARAMETERS angstrom
7.647 -0.004 0.857
0.766 7.609 0.857
-0.005 -0.004 7.695
```

> Which value of ΔH_f (0 K) does entry 3 give?

-0.392 eV/atom

> Look up the D(E_F) of the first one.

4.156 states/eV/f.u.

> Among the records above, which one has the lowest D(E_F)?

Nd3Cd2Sn4